Here is a relaxed TiVAgF6 crystal from the Alexandria database. Energies are from PBE+U.

Cell lengths 5.5080, 5.5080, 10.4452 Å; angles 90.00, 90.00, 120.00 degrees
Space group P-31c (No. 163)
Asymmetric unit:
Ti  0.3333  0.6667  0.2500 x2
V  0.3333  0.6667  0.7500 x2
Ag  0.0000  0.0000  0.0000 x2
F  0.0174  0.3738  0.1459 x12

Summary:
Spin magnetization   8.00 Bohr magnetons per cell
Volume   15.25 Å³ per atom
Calculated total energy   -104.66 eV per cell